# GGA-PBE SrHfSc3, relaxed
# formation energy = 134 kJ/mol of atoms
# energy = -23.70 eV per cell
data_SrHfSc3
_symmetry_space_group_name_H-M 'P m -3 m'
_symmetry_Int_Tables_number 221
_symmetry_space_group_name_Hall '-P 4 2 3'
_cell_length_a 5.110
_cell_length_b 5.110
_cell_length_c 5.110
_cell_angle_alpha 90.00
_cell_angle_beta 90.00
_cell_angle_gamma 90.00
loop_
_atom_site_label
_atom_site_type_symbol
_atom_site_fract_x
_atom_site_fract_y
_atom_site_fract_z
Sr1 Sr 0.000 0.000 0.000
Hf1 Hf 0.500 0.500 0.500
Sc1 Sc 0.000 0.000 0.500


# GGA-PBE SrHfSc2, relaxed
# formation energy = 82 kJ/mol of atoms
# energy = -83.57 eV per cell
data_SrHfSc2
_symmetry_space_group_name_H-M 'I -4 2 d'
_symmetry_Int_Tables_number 122
_symmetry_space_group_name_Hall 'I -4 2bw'
_cell_length_a 4.642
_cell_length_b 4.642
_cell_length_c 21.848
_cell_angle_alpha 90.00
_cell_angle_beta 90.00
_cell_angle_gamma 90.00
loop_
_atom_site_label
_atom_site_type_symbol
_atom_site_fract_x
_atom_site_fract_y
_atom_site_fract_z
Sr1 Sr 0.000 0.000 0.000
Hf1 Hf 0.000 0.000 0.500
Sc1 Sc 0.214 0.250 0.625


For the records above, the corresponding energy above the most stable polymorph in this dataset values read 4.22 2.09 eV per formula unit.